Entry 1:
DFT (PBE-GGA) results for a relaxed structure of P2SeO8.

Summary:
DFT total energy (eV per cell): -67.621
V (A^3/atom): 14.3

Unit cell a=6.7267 b=6.7267 c=4.4779 alpha=90.89 beta=90.89 gamma=50.71
Fractional positions:
P  0.1496  0.1496  0.4090
P  0.8504  0.8504  0.5910
Se  0.0000  0.0000  0.0000
O  0.1235  0.1235  0.7531
O  0.1288  0.7178  0.7596
O  0.2691  0.2691  0.3690
O  0.2822  0.8712  0.2404
O  0.7178  0.1288  0.7596
O  0.7309  0.7309  0.6310
O  0.8712  0.2822  0.2404
O  0.8765  0.8765  0.2469

=====

Entry 2:
DFT (PBE-GGA) results for a relaxed structure of PSe2O.

Summary:
E above lowest polymorph (eV per atom): 0.828
V (A^3/atom): 17.8

Unit cell a=5.7307 b=5.7307 c=5.7307 alpha=114.10 beta=114.10 gamma=100.57
Fractional positions:
P  0.0000  0.0000  0.0000
P  0.7500  0.2500  0.5000
Se  0.1381  0.6250  0.0131
Se  0.3750  0.3881  0.5131
Se  0.6119  0.1250  0.9869
Se  0.8750  0.8619  0.4869
O  0.2500  0.7500  0.5000
O  0.5000  0.5000  0.0000

=====

Entry 3:
DFT (PBE-GGA) results for a relaxed structure of PSe2O.

Summary:
E above lowest polymorph (eV per atom): 0.000
V (A^3/atom): 26.0

Unit cell a=3.2063 b=5.4688 c=6.1286 alpha=88.51 beta=75.27 gamma=89.99
Fractional positions:
P  0.0000  0.0000  0.0000
Se  0.1793  0.0962  0.6299
Se  0.4675  0.7119  0.0667
O  0.9260  0.2134  0.1525

=====

Entry 4:
DFT (PBE-GGA) results for a relaxed structure of PSe2O.

Summary:
E above lowest polymorph (eV per atom): 1.066
V (A^3/atom): 15.6

Unit cell a=8.6740 b=8.6740 c=8.6740 alpha=19.29 beta=19.29 gamma=19.29
Fractional positions:
P  0.0000  0.0000  0.0000
Se  0.0989  0.0989  0.0989
Se  0.9011  0.9011  0.9011
O  0.5000  0.5000  0.5000

=====

Entry 5:
DFT (PBE-GGA) results for a relaxed structure of P2SeO3.

Summary:
DFT total energy (eV per cell): -296.517
V (A^3/atom): 22.1

Unit cell a=12.8816 b=6.7527 c=12.1997 alpha=90.00 beta=91.68 gamma=90.00
Fractional positions:
P  0.1544  0.1878  0.0323
P  0.1544  0.3122  0.5323
P  0.1658  0.5545  0.9045
P  0.1658  0.9455  0.4045
P  0.2880  0.5230  0.1111
P  0.2880  0.9770  0.6111
P  0.3433  0.2058  0.4169
P  0.3433  0.2942  0.9169
P  0.6567  0.7058  0.0831
P  0.6567  0.7942  0.5831
P  0.7120  0.0230  0.3889
P  0.7120  0.4770  0.8889
P  0.8342  0.0545  0.5955
P  0.8342  0.4455  0.0955
P  0.8456  0.6878  0.4677
P  0.8456  0.8122  0.9677
Se  0.0824  0.7426  0.8032
Se  0.0824  0.7574  0.3032
Se  0.4622  0.1821  0.8276
Se  0.4622  0.3179  0.3276
Se  0.5378  0.6821  0.6724
Se  0.5378  0.8179  0.1724
Se  0.9176  0.2426  0.6968
Se  0.9176  0.2574  0.1968
O  0.1030  0.1362  0.4484
O  0.1030  0.3638  0.9484
O  0.2094  0.1687  0.6278
O  0.2094  0.3313  0.1278
O  0.2159  0.6496  0.0154
O  0.2159  0.8504  0.5154
O  0.2607  0.1334  0.9600
O  0.2607  0.3666  0.4600
O  0.2673  0.0486  0.3495
O  0.2673  0.4514  0.8495
O  0.3740  0.0815  0.5263
O  0.3740  0.4185  0.0263
O  0.6260  0.5815  0.9737
O  0.6260  0.9185  0.4737
O  0.7327  0.5486  0.1505
O  0.7327  0.9514  0.6505
O  0.7393  0.6334  0.5400
O  0.7393  0.8666  0.0400
O  0.7841  0.1496  0.4846
O  0.7841  0.3504  0.9846
O  0.7906  0.6687  0.8722
O  0.7906  0.8313  0.3722
O  0.8970  0.6362  0.0516
O  0.8970  0.8638  0.5516

=====

Entry 6:
DFT (PBE-GGA) results for a relaxed structure of SiPSeO2.

Summary:
E above lowest polymorph (eV per atom): 1.042
V (A^3/atom): 14.2

Unit cell a=3.7785 b=3.7785 c=4.9781 alpha=90.00 beta=90.00 gamma=90.00
Fractional positions:
Si  0.0000  0.0000  0.0000
P  0.5000  0.5000  0.0000
Se  0.5000  0.5000  0.5000
O  0.0000  0.5000  0.5000
O  0.5000  0.0000  0.5000

=====

Entry 7:
DFT (PBE-GGA) results for a relaxed structure of SiPSeO2.

Summary:
E above lowest polymorph (eV per atom): 0.000
V (A^3/atom): 14.1

Unit cell a=3.4050 b=3.4050 c=6.0993 alpha=90.00 beta=90.00 gamma=90.00
Fractional positions:
Si  0.0000  0.0000  0.0000
P  0.0000  0.0000  0.5000
Se  0.5000  0.5000  0.5000
O  0.0000  0.5000  0.0000
O  0.5000  0.0000  0.0000

=====

Entry 8:
DFT (PBE-GGA) results for a relaxed structure of Sm8P3Se4O.

Summary:
DFT total energy (eV per cell): -102.570
V (A^3/atom): 24.0

Unit cell a=8.2616 b=8.2616 c=8.2616 alpha=58.46 beta=58.46 gamma=58.46
Fractional positions:
Sm  0.2431  0.2431  0.2431
Sm  0.2517  0.7341  0.7341
Sm  0.2659  0.2659  0.7483
Sm  0.2659  0.7483  0.2659
Sm  0.7341  0.2517  0.7341
Sm  0.7341  0.7341  0.2517
Sm  0.7483  0.2659  0.2659
Sm  0.7569  0.7569  0.7569
P  0.0000  0.0000  0.5000
P  0.0000  0.5000  0.0000
P  0.5000  0.0000  0.0000
Se  0.0000  0.0000  0.0000
Se  0.0000  0.5000  0.5000
Se  0.5000  0.0000  0.5000
Se  0.5000  0.5000  0.0000
O  0.5000  0.5000  0.5000

=====

Entry 9:
DFT (PBE-GGA) results for a relaxed structure of Sm4PSe2O.

Summary:
DFT total energy (eV per cell): -51.782
V (A^3/atom): 22.8

Unit cell a=6.8166 b=3.9665 c=7.1370 alpha=90.00 beta=108.79 gamma=90.00
Fractional positions:
Sm  0.2248  0.0000  0.2107
Sm  0.2436  0.5000  0.7842
Sm  0.7564  0.5000  0.2158
Sm  0.7752  0.0000  0.7893
P  0.5000  0.0000  0.0000
Se  0.0000  0.0000  0.5000
Se  0.5000  0.5000  0.5000
O  0.0000  0.5000  0.0000

=====

Entry 10:
DFT (PBE-GGA) results for a relaxed structure of SnP2SeO.

Summary:
E above lowest polymorph (eV per atom): 0.148
V (A^3/atom): 20.7

Unit cell a=5.1537 b=5.1537 c=3.8910 alpha=90.00 beta=90.00 gamma=90.00
Fractional positions:
Sn  0.0000  0.0000  0.0000
P  0.0000  0.5000  0.0000
P  0.5000  0.0000  0.0000
Se  0.5000  0.5000  0.5000
O  0.0000  0.0000  0.5000

=====

Entry 11:
DFT (PBE-GGA) results for a relaxed structure of SnP2SeO.

Summary:
E above lowest polymorph (eV per atom): 0.000
V (A^3/atom): 18.3

Unit cell a=4.9163 b=4.9163 c=3.7894 alpha=90.00 beta=90.00 gamma=90.00
Fractional positions:
Sn  0.0000  0.0000  0.0000
P  0.0000  0.5000  0.5000
P  0.5000  0.0000  0.5000
Se  0.5000  0.5000  0.5000
O  0.5000  0.5000  0.0000

=====

Entry 12:
DFT (PBE-GGA) results for a relaxed structure of SrP2SeO8.

Summary:
DFT total energy (eV per cell): -78.303
V (A^3/atom): 12.9

Unit cell a=8.2841 b=8.2841 c=8.2841 alpha=33.59 beta=33.59 gamma=33.59
Fractional positions:
Sr  0.0000  0.0000  0.0000
P  0.2449  0.2449  0.2449
P  0.7551  0.7551  0.7551
Se  0.5000  0.5000  0.5000
O  0.0975  0.4796  0.7508
O  0.2492  0.5204  0.9025
O  0.3103  0.3103  0.3103
O  0.4796  0.7508  0.0975
O  0.5204  0.9025  0.2492
O  0.6897  0.6897  0.6897
O  0.7508  0.0975  0.4796
O  0.9025  0.2492  0.5204

=====

Entry 13:
DFT (PBE-GGA) results for a relaxed structure of TaP2SeO.

Summary:
E above lowest polymorph (eV per atom): 0.000
V (A^3/atom): 19.0

Unit cell a=4.9705 b=4.9705 c=3.8411 alpha=90.00 beta=90.00 gamma=90.00
Fractional positions:
Ta  0.0000  0.0000  0.0000
P  0.0000  0.5000  0.0000
P  0.5000  0.0000  0.0000
Se  0.5000  0.5000  0.5000
O  0.0000  0.0000  0.5000

=====

Entry 14:
DFT (PBE-GGA) results for a relaxed structure of TaP2SeO.

Summary:
E above lowest polymorph (eV per atom): 0.932
V (A^3/atom): 16.2

Unit cell a=4.7126 b=4.7126 c=3.6493 alpha=90.00 beta=90.00 gamma=90.00
Fractional positions:
Ta  0.0000  0.0000  0.0000
P  0.0000  0.5000  0.5000
P  0.5000  0.0000  0.5000
Se  0.5000  0.5000  0.5000
O  0.5000  0.5000  0.0000

=====

Entry 15:
DFT (PBE-GGA) results for a relaxed structure of Tb8P3Se4O.

Summary:
DFT total energy (eV per cell): -101.881
V (A^3/atom): 22.7

Unit cell a=8.1015 b=8.1015 c=8.1015 alpha=58.47 beta=58.47 gamma=58.47
Fractional positions:
Tb  0.2427  0.2427  0.2427
Tb  0.2512  0.7338  0.7338
Tb  0.2662  0.2662  0.7488
Tb  0.2662  0.7488  0.2662
Tb  0.7338  0.2512  0.7338
Tb  0.7338  0.7338  0.2512
Tb  0.7488  0.2662  0.2662
Tb  0.7573  0.7573  0.7573
P  0.0000  0.0000  0.5000
P  0.0000  0.5000  0.0000
P  0.5000  0.0000  0.0000
Se  0.0000  0.0000  0.0000
Se  0.0000  0.5000  0.5000
Se  0.5000  0.0000  0.5000
Se  0.5000  0.5000  0.0000
O  0.5000  0.5000  0.5000

=====

Entry 16:
DFT (PBE-GGA) results for a relaxed structure of Tb4PSe2O.

Summary:
DFT total energy (eV per cell): -51.413
V (A^3/atom): 21.5

Unit cell a=6.6812 b=3.8898 c=6.9999 alpha=90.00 beta=108.79 gamma=90.00
Fractional positions:
Tb  0.2246  0.0000  0.2096
Tb  0.2437  0.5000  0.7858
Tb  0.7563  0.5000  0.2142
Tb  0.7754  0.0000  0.7904
P  0.5000  0.0000  0.0000
Se  0.0000  0.0000  0.5000
Se  0.5000  0.5000  0.5000
O  0.0000  0.5000  0.0000

=====

Entry 17:
DFT (PBE-GGA) results for a relaxed structure of TcPSeO2.

Summary:
E above lowest polymorph (eV per atom): 0.000
V (A^3/atom): 15.1

Unit cell a=3.7325 b=3.7325 c=5.4147 alpha=90.00 beta=90.00 gamma=90.00
Fractional positions:
Tc  0.0000  0.0000  0.0000
P  0.0000  0.0000  0.5000
Se  0.5000  0.5000  0.5000
O  0.0000  0.5000  0.0000
O  0.5000  0.0000  0.0000

=====

Entry 18:
DFT (PBE-GGA) results for a relaxed structure of TcP2SeO.

Summary:
E above lowest polymorph (eV per atom): 0.000
V (A^3/atom): 16.9

Unit cell a=4.7645 b=4.7645 c=3.7180 alpha=90.00 beta=90.00 gamma=90.00
Fractional positions:
Tc  0.0000  0.0000  0.0000
P  0.0000  0.5000  0.0000
P  0.5000  0.0000  0.0000
Se  0.5000  0.5000  0.5000
O  0.0000  0.0000  0.5000

=====

Entry 19:
DFT (PBE-GGA) results for a relaxed structure of TcPSeO2.

Summary:
E above lowest polymorph (eV per atom): 0.986
V (A^3/atom): 14.5

Unit cell a=3.7698 b=3.7698 c=5.1012 alpha=90.00 beta=90.00 gamma=90.00
Fractional positions:
Tc  0.0000  0.0000  0.0000
P  0.5000  0.5000  0.0000
Se  0.5000  0.5000  0.5000
O  0.0000  0.5000  0.5000
O  0.5000  0.0000  0.5000

=====

Entry 20:
DFT (PBE-GGA) results for a relaxed structure of TcP2SeO.

Summary:
E above lowest polymorph (eV per atom): 0.901
V (A^3/atom): 16.5

Unit cell a=4.7666 b=4.7666 c=3.6358 alpha=90.00 beta=90.00 gamma=90.00
Fractional positions:
Tc  0.0000  0.0000  0.0000
P  0.0000  0.5000  0.5000
P  0.5000  0.0000  0.5000
Se  0.5000  0.5000  0.5000
O  0.5000  0.5000  0.0000

=====

Entry 21:
DFT (PBE-GGA) results for a relaxed structure of TeP2SeO.

Summary:
E above lowest polymorph (eV per atom): 0.179
V (A^3/atom): 20.9

Unit cell a=5.1565 b=5.1565 c=3.9258 alpha=90.00 beta=90.00 gamma=90.00
Fractional positions:
Te  0.0000  0.0000  0.0000
P  0.0000  0.5000  0.0000
P  0.5000  0.0000  0.0000
Se  0.5000  0.5000  0.5000
O  0.0000  0.0000  0.5000

=====

Entry 22:
DFT (PBE-GGA) results for a relaxed structure of TeP2SeO.

Summary:
E above lowest polymorph (eV per atom): 1.068
V (A^3/atom): 24.2

Unit cell a=4.6071 b=4.6071 c=5.7055 alpha=90.00 beta=90.00 gamma=90.00
Fractional positions:
Te  0.0000  0.0000  0.0000
P  0.0000  0.5000  0.5000
P  0.5000  0.0000  0.5000
Se  0.0000  0.0000  0.5000
O  0.5000  0.5000  0.0000

=====

Entry 23:
DFT (PBE-GGA) results for a relaxed structure of TeP2SeO.

Summary:
E above lowest polymorph (eV per atom): 0.000
V (A^3/atom): 18.4

Unit cell a=4.9263 b=4.9263 c=3.7811 alpha=90.00 beta=90.00 gamma=90.00
Fractional positions:
Te  0.0000  0.0000  0.0000
P  0.0000  0.5000  0.5000
P  0.5000  0.0000  0.5000
Se  0.5000  0.5000  0.5000
O  0.5000  0.5000  0.0000

=====

Entry 24:
DFT (PBE-GGA) results for a relaxed structure of Th2PSe2O.

Summary:
DFT total energy (eV per cell): -88.990
V (A^3/atom): 23.3

Unit cell a=8.3698 b=8.3698 c=8.3698 alpha=129.13 beta=65.66 gamma=141.36
Fractional positions:
Th  0.1039  0.1917  0.2956
Th  0.3961  0.6917  0.0878
Th  0.6039  0.3083  0.9122
Th  0.8961  0.8083  0.7044
P  0.2500  0.7500  0.5000
P  0.7500  0.2500  0.5000
Se  0.1890  0.8149  0.0038
Se  0.3110  0.3149  0.6259
Se  0.6890  0.6851  0.3741
Se  0.8110  0.1851  0.9962
O  0.2500  0.2500  0.0000
O  0.7500  0.7500  0.0000